No. 1
{
  "formula": "NbPt2Rh6",
  "functional": "PBE-GGA",
  "state": "optimized geometry",
  "delta_e_f_ev_per_fu": -2.31,
  "cell": [[3.9081, 0.0000, 0.0000], [1.9541, 4.3557, -0.0538], [1.9541, 1.9077, 7.8285]],
  "species": ["Nb", "Pt", "Pt", "Rh", "Rh", "Rh", "Rh", "Rh", "Rh"],
  "frac_coords": [[0.0000, 0.5000, 0.5000], [0.3328, 0.6115, 0.7228], [0.6672, 0.3885, 0.2772], [0.6616, 0.7278, 0.9490], [0.3384, 0.2722, 0.0510], [0.0021, 0.8278, 0.1679], [0.3349, 0.9444, 0.3858], [0.9979, 0.1722, 0.8321], [0.6651, 0.0556, 0.6142]]
}

***

No. 2
{
  "formula": "Nb2Pt5Rh",
  "functional": "PBE-GGA",
  "state": "optimized geometry",
  "delta_e_f_ev_per_fu": -4.57,
  "cell": [[-0.3188, 1.5490, 3.6341], [-5.3300, -1.8628, 0.3264], [3.6707, -9.7207, 4.4655]],
  "species": ["Nb", "Nb", "Nb", "Nb", "Pt", "Pt", "Pt", "Pt", "Pt", "Pt", "Pt", "Pt", "Pt", "Pt", "Rh", "Rh"],
  "frac_coords": [[0.5000, 0.2406, 0.6219], [0.5000, 0.7594, 0.3781], [0.5000, 0.2594, 0.1219], [0.5000, 0.7406, 0.8781], [0.0000, 0.0000, 0.0000], [0.0000, 0.5000, 0.5000], [0.0000, 0.4939, 0.7512], [0.0000, 0.5061, 0.2488], [0.0000, 0.0061, 0.2512], [0.0000, 0.9939, 0.7488], [0.5000, 0.2480, 0.8756], [0.5000, 0.7520, 0.1244], [0.5000, 0.2520, 0.3756], [0.5000, 0.7480, 0.6244], [0.0000, 0.0000, 0.5000], [0.0000, 0.5000, 0.0000]]
}

***

No. 3
{
  "formula": "Nb2Pt5Rh5",
  "functional": "PBE-GGA",
  "state": "optimized geometry",
  "delta_e_f_ev_per_fu": -5.34,
  "cell": [[3.8143, 0.0000, 0.9378], [1.6529, 5.7807, 1.5031], [-0.0453, 0.5609, 8.4101]],
  "species": ["Nb", "Nb", "Pt", "Pt", "Pt", "Pt", "Pt", "Rh", "Rh", "Rh", "Rh", "Rh"],
  "frac_coords": [[0.9136, 0.4217, 0.7511], [0.0864, 0.5783, 0.2489], [0.5000, 0.5000, 0.5000], [0.3343, 0.3290, 0.0024], [0.4185, 0.9113, 0.2517], [0.5815, 0.0887, 0.7483], [0.6657, 0.6710, 0.9976], [0.8326, 0.8345, 0.5003], [0.2581, 0.7395, 0.7443], [0.7419, 0.2605, 0.2557], [0.1674, 0.1655, 0.4997], [0.0000, 0.0000, 0.0000]]
}

***

No. 4
{
  "formula": "NbPt3Rh2",
  "functional": "PBE-GGA",
  "state": "optimized geometry",
  "delta_e_f_ev_per_fu": -1.68,
  "cell": [[-2.0607, 1.5768, -2.9637], [2.3303, -4.3145, -3.9158], [-4.7549, -5.9983, 2.7325]],
  "species": ["Nb", "Nb", "Pt", "Pt", "Pt", "Pt", "Pt", "Pt", "Rh", "Rh", "Rh", "Rh"],
  "frac_coords": [[0.1468, 0.2812, 0.2936], [0.8532, 0.7188, 0.7064], [0.6947, 0.9508, 0.3895], [0.0785, 0.8890, 0.1570], [0.3912, 0.4324, 0.7825], [0.6088, 0.5676, 0.2175], [0.9215, 0.1110, 0.8430], [0.3053, 0.0492, 0.6105], [0.4623, 0.8111, 0.9246], [0.5377, 0.1889, 0.0754], [0.2337, 0.6464, 0.4673], [0.7663, 0.3536, 0.5327]]
}

***

No. 5
{
  "formula": "Nb3PtRh2",
  "functional": "PBE-GGA",
  "state": "optimized geometry",
  "delta_e_f_ev_per_fu": -0.14,
  "cell": [[-0.5030, -2.5401, -1.0284], [4.0678, -1.7502, 2.3335], [-5.9875, 0.5075, 5.4496]],
  "species": ["Nb", "Nb", "Nb", "Pt", "Rh", "Rh"],
  "frac_coords": [[0.0000, 0.5000, 0.0000], [0.8184, 0.8184, 0.6368], [0.1816, 0.1816, 0.3632], [0.0000, 0.0000, 0.0000], [0.6568, 0.6568, 0.3137], [0.3432, 0.3432, 0.6863]]
}

***

No. 6
{
  "formula": "NbPt3Rh2",
  "functional": "PBE-GGA",
  "state": "optimized geometry",
  "delta_e_f_ev_per_fu": -1.20,
  "cell": [[2.7860, 0.0000, 0.0000], [0.0000, 8.0013, -0.5274], [-1.3930, -2.5757, 8.8008]],
  "species": ["Nb", "Nb", "Pt", "Pt", "Pt", "Pt", "Pt", "Pt", "Rh", "Rh", "Rh", "Rh"],
  "frac_coords": [[0.3290, 0.9582, 0.6580], [0.6710, 0.0418, 0.3420], [0.2992, 0.2641, 0.5985], [0.0701, 0.7657, 0.1402], [0.4366, 0.5581, 0.8732], [0.7008, 0.7359, 0.4015], [0.5634, 0.4419, 0.1268], [0.9299, 0.2343, 0.8598], [0.3058, 0.6239, 0.6116], [0.6942, 0.3761, 0.3884], [0.9321, 0.8644, 0.8641], [0.0679, 0.1356, 0.1359]]
}

***

The following mass density values (in g/cm3) correspond, in order, to the records above: 13.7, 16.6, 15.2, 15.1, 10.7, 15.3.
The following total moment values (in Bohr magnetons per cell) correspond, in order, to the records above: 0.00, 0.00, 0.00, 0.00, 0.00, 0.00.